First-principles (PBE) data for a relaxed Ag3PtCl2F6 crystal, as listed in the Alexandria database.

uncorrected formation energy = -1.05 eV per atom
SG = No. 12

The structure in CIF format:
```
data_Ag3PtCl2F6
_cell_length_a 7.3200
_cell_length_b 7.3200
_cell_length_c 4.8734
_cell_angle_alpha 90.16
_cell_angle_beta 90.16
_cell_angle_gamma 55.71
_symmetry_space_group_name_H-M 'P 1'
_symmetry_Int_Tables_number 1
_symmetry_space_group_name_Hall 'P 1'
loop_
_atom_site_label
_atom_site_fract_x
_atom_site_fract_y
_atom_site_fract_z
Ag1 0.0000 0.0000 0.0000
Ag2 0.0000 0.5000 0.5000
Ag3 0.5000 0.0000 0.5000
Pt1 0.5000 0.5000 0.5000
Cl1 0.1811 0.1811 0.1796
Cl2 0.8189 0.8189 0.8204
F1 0.2222 0.6420 0.2862
F2 0.3580 0.7778 0.7138
F3 0.3731 0.3731 0.7205
F4 0.6269 0.6269 0.2795
F5 0.6420 0.2222 0.2862
F6 0.7778 0.3580 0.7138
```